Entry 1:
{"formula": "Na3NbS", "functional": "PBE-GGA", "state": "relaxed", "cell": [[5.335, 0.000, 0.000], [0.000, 5.335, 0.000], [0.000, 0.000, 5.335]], "species": ["Nb", "Na", "Na", "Na", "S"], "frac_coords": [[0.500, 0.500, 0.500], [0.000, 0.000, 0.500], [0.500, 0.000, 0.000], [0.000, 0.500, 0.000], [0.000, 0.000, 0.000]], "raw_formation_energy_ev_per_atom": 0.4796, "final_energy_ev_per_cell": -15.76, "crystal_system": "cubic", "de_polymorph_mev_per_atom": 0.0}

=====

Entry 2:
{"formula": "NaNb2SeS", "functional": "PBE-GGA", "state": "relaxed", "cell": [[-1.887, -4.021, 2.366], [3.586, -2.392, -1.206], [2.348, 1.387, 4.230]], "species": ["Se", "Na", "S", "Nb", "Nb"], "frac_coords": [[0.000, 0.500, 0.000], [0.000, 0.000, 0.000], [0.500, 0.500, 0.500], [0.000, 0.000, 0.500], [0.500, 0.000, 0.000]], "raw_formation_energy_ev_per_atom": 1.7290, "final_energy_ev_per_cell": -20.43, "crystal_system": "tetragonal"}

=====

Entry 3:
{"formula": "Na3Sm3NbS8", "functional": "PBE-GGA", "state": "relaxed", "cell": [[7.944, 0.000, 0.000], [-3.972, 6.879, -0.026], [0.000, -4.563, 6.784]], "species": ["Na", "Na", "Na", "S", "S", "S", "S", "S", "S", "S", "S", "Nb", "Sm", "Sm", "Sm"], "frac_coords": [[0.500, 0.500, 0.000], [0.000, 0.500, 0.000], [0.000, 0.000, 0.000], [0.255, 0.511, 0.266], [0.233, 0.008, 0.284], [0.224, 0.992, 0.716], [0.767, 0.992, 0.716], [0.776, 0.008, 0.284], [0.745, 0.489, 0.734], [0.776, 0.551, 0.284], [0.224, 0.449, 0.716], [0.000, 0.000, 0.500], [0.500, 0.000, 0.500], [0.000, 0.500, 0.500], [0.500, 0.500, 0.500]], "raw_formation_energy_ev_per_atom": -1.5911, "final_energy_ev_per_cell": -85.07, "crystal_system": "trigonal"}

=====

Entry 4:
{"formula": "Na2Ta2NbS6", "functional": "PBE-GGA", "state": "relaxed", "cell": [[-0.800, -1.393, 5.807], [4.951, -1.716, -2.974], [2.022, 6.992, 1.067]], "species": ["Na", "Na", "S", "S", "S", "S", "S", "S", "Nb", "Ta", "Ta"], "frac_coords": [[0.828, 0.172, 0.000], [0.172, 0.828, 0.000], [0.055, 0.401, 0.703], [0.945, 0.599, 0.297], [0.740, 0.740, 0.734], [0.599, 0.945, 0.297], [0.260, 0.260, 0.266], [0.401, 0.055, 0.703], [0.000, 0.000, 0.500], [0.362, 0.638, 0.500], [0.638, 0.362, 0.500]], "raw_formation_energy_ev_per_atom": -1.1082, "final_energy_ev_per_cell": -73.37, "crystal_system": "monoclinic"}

=====

Entry 5:
{"formula": "Na3Tb3NbS8", "functional": "PBE-GGA", "state": "relaxed", "cell": [[7.818, 0.000, 0.000], [-3.909, 6.770, -0.026], [0.000, -4.491, 6.788]], "species": ["S", "S", "S", "S", "S", "S", "S", "S", "Nb", "Na", "Na", "Na", "Tb", "Tb", "Tb"], "frac_coords": [[0.774, 0.547, 0.285], [0.226, 0.989, 0.715], [0.743, 0.486, 0.730], [0.774, 0.011, 0.285], [0.226, 0.453, 0.715], [0.762, 0.989, 0.715], [0.257, 0.514, 0.270], [0.238, 0.011, 0.285], [0.000, 0.000, 0.500], [0.500, 0.500, 0.000], [0.000, 0.500, 0.000], [0.000, 0.000, 0.000], [0.000, 0.500, 0.500], [0.500, 0.000, 0.500], [0.500, 0.500, 0.500]], "raw_formation_energy_ev_per_atom": -1.6186, "final_energy_ev_per_cell": -85.22, "crystal_system": "trigonal"}

=====

Entry 6:
{"formula": "NaNbTeS2", "functional": "PBE-GGA", "state": "relaxed", "cell": [[-1.347, 4.339, 2.868], [-4.879, -1.896, 0.577], [1.508, -2.509, 4.505]], "species": ["S", "S", "Na", "Te", "Nb"], "frac_coords": [[0.000, 0.000, 0.500], [0.500, 0.000, 0.000], [0.500, 0.500, 0.500], [0.000, 0.000, 0.000], [0.000, 0.500, 0.000]], "raw_formation_energy_ev_per_atom": 0.6568, "final_energy_ev_per_cell": -19.50, "crystal_system": "tetragonal"}

=====

Entry 7:
{"formula": "Na3Ti3NbS8", "functional": "PBE-GGA", "state": "relaxed", "cell": [[6.955, 0.000, 0.000], [-3.477, 6.019, -0.022], [0.000, -3.987, 6.905]], "species": ["Na", "Na", "Na", "S", "S", "S", "S", "S", "S", "S", "S", "Ti", "Ti", "Ti", "Nb"], "frac_coords": [[0.000, 0.000, 0.000], [0.000, 0.500, 0.000], [0.500, 0.500, 0.000], [0.759, 0.028, 0.287], [0.241, 0.482, 0.713], [0.263, 0.526, 0.289], [0.737, 0.474, 0.711], [0.269, 0.028, 0.287], [0.759, 0.518, 0.287], [0.731, 0.972, 0.713], [0.241, 0.972, 0.713], [0.000, 0.500, 0.500], [0.500, 0.500, 0.500], [0.500, 0.000, 0.500], [0.000, 0.000, 0.500]], "raw_formation_energy_ev_per_atom": -1.2922, "final_energy_ev_per_cell": -90.11, "crystal_system": "trigonal"}

=====

Entry 8:
{"formula": "Na2Ti2NbS6", "functional": "PBE-GGA", "state": "relaxed", "cell": [[5.990, -0.025, 0.059], [-2.983, 5.195, 0.059], [-1.062, -1.825, 6.941]], "species": ["S", "S", "S", "S", "S", "S", "Ti", "Ti", "Na", "Na", "Nb"], "frac_coords": [[0.071, 0.408, 0.711], [0.408, 0.071, 0.711], [0.271, 0.271, 0.288], [0.929, 0.592, 0.289], [0.729, 0.729, 0.712], [0.592, 0.929, 0.289], [0.666, 0.334, 0.500], [0.334, 0.666, 0.500], [0.165, 0.835, 0.000], [0.835, 0.165, 0.000], [0.000, 0.000, 0.500]], "raw_formation_energy_ev_per_atom": -1.2727, "final_energy_ev_per_cell": -67.26, "crystal_system": "monoclinic"}

=====

Entry 9:
{"formula": "Na2TiNb2S6", "functional": "PBE-GGA", "state": "relaxed", "cell": [[6.021, -0.006, 0.102], [-2.981, 5.231, 0.102], [-1.022, -1.758, 6.966]], "species": ["Na", "Na", "S", "S", "S", "S", "S", "S", "Nb", "Nb", "Ti"], "frac_coords": [[0.824, 0.176, 0.000], [0.176, 0.824, 0.000], [0.941, 0.607, 0.296], [0.249, 0.249, 0.271], [0.393, 0.059, 0.704], [0.059, 0.393, 0.704], [0.607, 0.941, 0.296], [0.751, 0.751, 0.729], [0.358, 0.642, 0.500], [0.642, 0.358, 0.500], [0.000, 0.000, 0.500]], "raw_formation_energy_ev_per_atom": -1.1971, "final_energy_ev_per_cell": -68.61, "crystal_system": "monoclinic"}

=====

Entry 10:
{"formula": "Na2NbTl3S6", "functional": "PBE-GGA", "state": "relaxed", "cell": [[-0.107, 7.024, -0.880], [-1.148, -4.309, -5.499], [-6.064, -0.867, 3.494]], "species": ["S", "S", "S", "S", "S", "S", "Na", "Na", "Tl", "Tl", "Tl", "Nb"], "frac_coords": [[0.640, 0.927, 0.783], [0.360, 0.073, 0.217], [0.779, 0.779, 0.213], [0.927, 0.640, 0.783], [0.073, 0.360, 0.217], [0.221, 0.221, 0.787], [0.333, 0.667, 0.000], [0.667, 0.333, 0.000], [0.841, 0.159, 0.500], [0.500, 0.500, 0.500], [0.159, 0.841, 0.500], [0.000, 0.000, 0.000]], "raw_formation_energy_ev_per_atom": -0.6485, "final_energy_ev_per_cell": -52.35, "crystal_system": "monoclinic"}

=====

Entry 11:
{"formula": "Na2UNb2S6", "functional": "PBE-GGA", "state": "relaxed", "cell": [[-0.794, -0.749, -6.001], [-0.684, -4.859, 3.623], [-6.472, 3.146, 1.418]], "species": ["U", "S", "S", "S", "S", "S", "S", "Na", "Na", "Nb", "Nb"], "frac_coords": [[0.000, 0.000, 0.500], [0.063, 0.410, 0.714], [0.590, 0.937, 0.286], [0.410, 0.063, 0.714], [0.937, 0.590, 0.286], [0.729, 0.729, 0.729], [0.271, 0.271, 0.271], [0.829, 0.171, 0.000], [0.171, 0.829, 0.000], [0.649, 0.351, 0.500], [0.351, 0.649, 0.500]], "raw_formation_energy_ev_per_atom": -1.2029, "final_energy_ev_per_cell": -72.06, "crystal_system": "monoclinic"}

=====

Entry 12:
{"formula": "Na3Zr3NbS8", "functional": "PBE-GGA", "state": "relaxed", "cell": [[7.221, 0.000, 0.002], [-3.611, 6.254, -0.026], [0.002, -4.144, 7.006]], "species": ["Na", "Na", "Na", "S", "S", "S", "S", "S", "S", "S", "S", "Zr", "Zr", "Zr", "Nb"], "frac_coords": [[0.000, 0.500, 0.000], [0.000, 0.000, 0.000], [0.500, 0.500, 0.000], [0.763, 0.018, 0.281], [0.742, 0.483, 0.725], [0.763, 0.526, 0.281], [0.255, 0.018, 0.281], [0.745, 0.982, 0.719], [0.258, 0.517, 0.275], [0.237, 0.982, 0.719], [0.237, 0.474, 0.719], [0.500, 0.500, 0.500], [0.000, 0.500, 0.500], [0.500, 0.000, 0.500], [0.000, 0.000, 0.500]], "raw_formation_energy_ev_per_atom": -1.4056, "final_energy_ev_per_cell": -93.77, "crystal_system": "trigonal"}